A plane-wave DFT calculation with PBE-GGA was carried out for a relaxed CrRe2Os crystal.

## Properties
Energy above the most stable polymorph in this dataset, meV/atom: 143.9
D(E_F), states/eV per atom: 1.0133
Total magnetization, μB per atom: 0.059
Density, kg/m³: 17966
SG: Imm2, No. 44
ΔH_f (0 K), kJ/mol of atoms: 23.1

```
data_CrRe2Os
_chemical_formula_sum 'Cr1 Re2 Os1'
_cell_length_a 5.146
_cell_length_b 5.146
_cell_length_c 5.146
_cell_angle_alpha 146.85
_cell_angle_beta 129.63
_cell_angle_gamma 61.63
_space_group_name_H-M_alt 'P 1'
_space_group_IT_number 1
loop_
_space_group_symop_operation_xyz
'x,y,z'
loop_
_atom_site_label
_atom_site_fract_x
_atom_site_fract_y
_atom_site_fract_z
_atom_site_occupancy
Cr1 0.505 0.505 0.000 1
Os1 0.273 0.773 0.500 1
Re1 0.727 0.227 0.500 1
Re2 0.995 0.995 0.000 1
```

***

A plane-wave DFT calculation with PBE-GGA was carried out for a relaxed CrRe2Os crystal.

## Properties
Energy above the most stable polymorph in this dataset, meV/atom: 15.7
D(E_F), states/eV per atom: 0.9841
Total magnetization, μB per atom: 0.000
Density, kg/m³: 17983
SG: Cm, No. 8
ΔH_f (0 K), kJ/mol of atoms: 10.8

```
data_CrRe2Os
_chemical_formula_sum 'Cr1 Re2 Os1'
_cell_length_a 4.688
_cell_length_b 4.688
_cell_length_c 4.708
_cell_angle_alpha 80.28
_cell_angle_beta 80.28
_cell_angle_gamma 33.86
_space_group_name_H-M_alt 'P 1'
_space_group_IT_number 1
loop_
_space_group_symop_operation_xyz
'x,y,z'
loop_
_atom_site_label
_atom_site_fract_x
_atom_site_fract_y
_atom_site_fract_z
_atom_site_occupancy
Re1 0.998 0.998 0.006 1
Os1 0.248 0.248 0.257 1
Re2 0.752 0.752 0.742 1
Cr1 0.502 0.502 0.495 1
```

***

A plane-wave DFT calculation with PBE-GGA was carried out for a relaxed CrRe2Os crystal.

## Properties
Energy above the most stable polymorph in this dataset, meV/atom: 240.0
D(E_F), states/eV per atom: 1.2481
Total magnetization, μB per atom: 0.000
Density, kg/m³: 17856
SG: Cmm2, No. 35
ΔH_f (0 K), kJ/mol of atoms: 32.4

```
data_CrRe2Os
_chemical_formula_sum 'Cr1 Re2 Os1'
_cell_length_a 2.674
_cell_length_b 2.674
_cell_length_c 8.618
_cell_angle_alpha 90.00
_cell_angle_beta 90.00
_cell_angle_gamma 111.92
_space_group_name_H-M_alt 'P 1'
_space_group_IT_number 1
loop_
_space_group_symop_operation_xyz
'x,y,z'
loop_
_atom_site_label
_atom_site_fract_x
_atom_site_fract_y
_atom_site_fract_z
_atom_site_occupancy
Re1 0.000 0.000 0.001 1
Os1 0.500 0.500 0.737 1
Re2 0.500 0.500 0.263 1
Cr1 0.000 0.000 0.500 1
```

***

A plane-wave DFT calculation with PBE-GGA was carried out for a relaxed CrRe2Os crystal.

## Properties
Energy above the most stable polymorph in this dataset, meV/atom: 3.1
D(E_F), states/eV per atom: 0.9111
Total magnetization, μB per atom: 0.000
Density, kg/m³: 18028
SG: I4/mmm, No. 139
ΔH_f (0 K), kJ/mol of atoms: 9.6

```
data_CrRe2Os
_chemical_formula_sum 'Cr1 Re2 Os1'
_cell_length_a 4.711
_cell_length_b 4.711
_cell_length_c 4.711
_cell_angle_alpha 131.99
_cell_angle_beta 131.99
_cell_angle_gamma 70.25
_space_group_name_H-M_alt 'P 1'
_space_group_IT_number 1
loop_
_space_group_symop_operation_xyz
'x,y,z'
loop_
_atom_site_label
_atom_site_fract_x
_atom_site_fract_y
_atom_site_fract_z
_atom_site_occupancy
Cr1 0.250 0.750 0.500 1
Os1 0.750 0.250 0.500 1
Re1 0.000 0.000 0.000 1
Re2 0.500 0.500 0.000 1
```